18
Lattice="-0.063 -2.440 2.533 4.411 -2.703 -4.937 8.358 4.806 4.836" Properties=species:S:1:pos:R:3 comment="Ce2NpInN5 PBE optimized geometry" n_ef_per_ev_fu=9.5 crystal_system=orthorhombic formation_energy_uncorrected_ev_per_atom=-0.901 energy_ev_per_cell=-154.559 pbc="T T T"
Ce 9.699 -0.290 2.404
Ce 6.745 2.479 2.555
Ce 3.587 0.287 0.365
Ce 5.011 -3.362 -0.671
Np 6.719 -1.010 1.636
Np 1.958 -1.644 -1.534
In 8.231 3.246 5.773
In 8.075 -1.512 -1.256
N 3.321 -2.780 -2.595
N 9.042 1.408 4.023
N 10.737 -0.141 0.131
N 7.810 0.947 1.106
N 8.492 -1.925 0.799
N 5.471 0.192 2.763
N 5.753 -0.543 -0.381
N 2.319 0.005 2.505
N 3.161 -2.282 0.323
N 1.100 -0.202 -0.167

32
Lattice="-5.142 -8.132 -6.200 -6.251 -4.666 8.376 0.078 11.137 -2.643" Properties=species:S:1:pos:R:3 comment="KSi PBE optimized geometry" crystal_system=tetragonal formation_energy_uncorrected_ev_per_atom=-0.057 energy_ev_per_cell=-106.164 pbc="T T T"
K -9.265 -9.171 0.374
K -4.660 -2.125 -2.619
K -6.297 -6.345 -1.740
K -1.931 1.448 -1.593
K -2.050 7.510 -0.841
K -6.655 0.463 2.153
K -5.018 4.684 1.274
K -9.384 -3.110 1.127
K -6.635 -3.757 -5.418
K -3.887 -6.073 -4.658
K -5.635 1.944 -0.934
K -5.364 1.096 -4.498
K -4.681 2.095 4.952
K -7.428 4.412 4.192
K -5.680 -3.605 0.468
K -5.951 -2.758 4.031
Si -7.806 -6.190 1.586
Si -8.388 -5.299 3.785
Si -2.955 6.045 -3.877
Si -1.213 4.668 -2.859
Si -8.004 -3.130 -2.080
Si -9.825 -1.503 -2.047
Si -3.420 -0.515 3.025
Si -3.649 -0.723 0.602
Si -3.509 4.528 -2.052
Si -2.927 3.637 -4.251
Si -8.360 -7.707 3.411
Si -10.102 -6.329 2.392
Si -3.311 1.468 1.613
Si -1.490 -0.159 1.581
Si -7.895 -1.147 -3.492
Si -7.666 -0.939 -1.068